## K4U3HgO12 (PBE)

Data for crystalline K4U3HgO12 at its relaxed geometry.

## Properties
size of the total moment = 0.00 μB per formula unit

Cell: 7.531 7.531 7.531 Å, 109.47 109.47 109.47°
Atoms (fractional coordinates):
K1 0.500 0.500 0.500
K2 0.000 0.000 0.500
K3 0.500 0.000 0.000
K4 0.000 0.500 0.000
U1 0.500 0.000 0.500
U2 0.500 0.500 0.000
U3 0.000 0.500 0.500
Hg1 0.000 0.000 0.000
O1 0.250 0.500 0.750
O2 0.725 0.000 0.725
O3 0.275 0.000 0.275
O4 0.750 0.500 0.250
O5 0.725 0.725 0.000
O6 0.275 0.275 0.000
O7 0.750 0.250 0.500
O8 0.250 0.750 0.500
O9 0.500 0.250 0.750
O10 0.000 0.725 0.725
O11 0.500 0.750 0.250
O12 0.000 0.275 0.275

***

## K2U3HgO12 (PBE)

Data for crystalline K2U3HgO12 at its relaxed geometry.

## Properties
size of the total moment = 0.00 μB per formula unit

Cell: 7.853 7.853 7.853 Å, 62.12 62.12 62.12°
Atoms (fractional coordinates):
K1 0.671 0.671 0.671
K2 0.329 0.329 0.329
U1 0.500 0.000 0.000
U2 0.000 0.500 0.000
U3 0.000 0.000 0.500
Hg1 0.000 0.000 0.000
O1 0.308 0.308 0.949
O2 0.927 0.927 0.343
O3 0.343 0.927 0.927
O4 0.949 0.308 0.308
O5 0.927 0.343 0.927
O6 0.308 0.949 0.308
O7 0.692 0.692 0.051
O8 0.073 0.073 0.657
O9 0.657 0.073 0.073
O10 0.051 0.692 0.692
O11 0.073 0.657 0.073
O12 0.692 0.051 0.692

***

## KUHg2O6 (PBE)

Data for crystalline KUHg2O6 at its relaxed geometry.

## Properties
size of the total moment = 0.00 μB per formula unit

Cell: 6.134 6.129 6.367 Å, 61.20 61.13 59.91°
Atoms (fractional coordinates):
K1 0.816 0.816 0.552
U1 0.316 0.316 0.052
Hg1 0.556 0.556 0.332
Hg2 0.076 0.077 0.771
O1 0.496 0.263 0.286
O2 0.262 0.955 0.286
O3 0.954 0.498 0.286
O4 0.370 0.677 0.817
O5 0.678 0.135 0.817
O6 0.136 0.370 0.817

***

## K2UHg2O6 (PBE)

Data for crystalline K2UHg2O6 at its relaxed geometry.

## Properties
size of the total moment = 0.00 μB per formula unit

Cell: 6.038 6.038 7.124 Å, 106.65 106.65 108.42°
Atoms (fractional coordinates):
K1 0.811 0.189 0.000
K2 0.189 0.811 0.000
U1 0.000 0.000 0.500
Hg1 0.333 0.667 0.500
Hg2 0.667 0.333 0.500
O1 0.755 0.755 0.619
O2 0.014 0.311 0.728
O3 0.245 0.245 0.381
O4 0.311 0.014 0.728
O5 0.986 0.689 0.272
O6 0.689 0.986 0.272

***

The records above yield V values of 16.4 19.9 17.2 19.5 A^3/atom, respectively.
The records above yield energy relative to the elements, uncorrected values of -2.54 -2.33 -1.51 -1.68 eV/atom, respectively.